P | MnGaPS2 | PBE | optimized geometry

Summary:
- V: 19.2 A^3/atom
- D(E_F): 0.650 states/eV/atom

Unit cell a=4.635 b=4.635 c=4.459 alpha=90.00 beta=90.00 gamma=90.00
Sites, in units of the cell vectors:
P: 0.000 0.000 0.500
S: 0.000 0.500 0.000
S: 0.500 0.000 0.000
Mn: 0.000 0.000 0.000
Ga: 0.500 0.500 0.500

***

Q | MnGaPS2 | PBE | optimized geometry

Summary:
- V: 20.8 A^3/atom
- D(E_F): 0.406 states/eV/atom

Unit cell a=4.743 b=4.743 c=4.621 alpha=90.00 beta=90.00 gamma=90.00
Sites, in units of the cell vectors:
P: 0.000 0.000 0.500
S: 0.000 0.500 0.000
S: 0.500 0.000 0.000
Mn: 0.500 0.500 0.500
Ga: 0.000 0.000 0.000

***

What is the stability order? It is P, Q, from most stable to least stable.

***

P | MnGaPSe | PBE | optimized geometry

Summary:
- V: 16.9 A^3/atom
- D(E_F): 0.393 states/eV/atom

Unit cell a=2.805 b=2.916 c=9.561 alpha=81.37 beta=81.71 gamma=61.44
Sites, in units of the cell vectors:
Mn: 0.410 0.160 0.323
Ga: 0.804 0.571 0.122
P: 0.684 0.452 0.487
Se: 0.886 0.670 0.855

***

Q | MnGaPSe | PBE | optimized geometry

Summary:
- V: 17.5 A^3/atom
- D(E_F): 0.462 states/eV/atom

Unit cell a=2.789 b=3.123 c=16.053 alpha=90.00 beta=90.42 gamma=90.00
Sites, in units of the cell vectors:
Mn: 0.070 0.000 0.743
Mn: 0.070 0.500 0.243
Ga: 0.641 0.000 0.935
Ga: 0.641 0.500 0.435
P: 0.575 0.000 0.304
P: 0.575 0.500 0.804
Se: 0.567 0.000 0.623
Se: 0.567 0.500 0.123

***

What is the stability order? It is Q, P, from most stable to least stable.

***

P | MnGaPSe | PBE | optimized geometry

Summary:
- V: 19.5 A^3/atom
- D(E_F): 0.444 states/eV/atom

Unit cell a=3.796 b=3.957 c=10.382 alpha=90.00 beta=90.00 gamma=90.00
Sites, in units of the cell vectors:
Mn: 0.500 0.000 0.499
Mn: 0.500 0.500 0.999
Ga: 0.000 0.000 0.675
Ga: 0.000 0.500 0.175
P: 0.500 0.000 0.086
P: 0.500 0.500 0.586
Se: 0.000 0.000 0.348
Se: 0.000 0.500 0.848

***

Q | MnGaPSe | PBE | optimized geometry

Summary:
- V: 18.4 A^3/atom
- D(E_F): 0.306 states/eV/atom

Unit cell a=3.720 b=3.720 c=18.412 alpha=90.00 beta=90.00 gamma=120.00
Sites, in units of the cell vectors:
Mn: 0.000 0.000 0.497
Mn: 0.333 0.667 0.164
Mn: 0.667 0.333 0.830
Ga: 0.000 0.000 0.367
Ga: 0.333 0.667 0.034
Ga: 0.667 0.333 0.701
P: 0.000 0.000 0.147
P: 0.333 0.667 0.813
P: 0.667 0.333 0.480
Se: 0.000 0.000 0.629
Se: 0.333 0.667 0.296
Se: 0.667 0.333 0.963

***

R | MnGaPSe | PBE | optimized geometry

Summary:
- V: 19.1 A^3/atom
- D(E_F): 0.642 states/eV/atom

Unit cell a=2.713 b=3.596 c=7.849 alpha=90.04 beta=90.75 gamma=90.00
Sites, in units of the cell vectors:
Mn: 0.040 0.766 0.372
Ga: 0.530 0.765 0.104
P: 0.542 0.266 0.425
Se: 0.521 0.265 0.887

***

What is the stability order? It is Q, R, P, from most stable to least stable.

***

P | MnGaPSe | PBE | optimized geometry

Summary:
- V: 17.3 A^3/atom
- D(E_F): 0.535 states/eV/atom

Unit cell a=2.852 b=3.045 c=8.123 alpha=100.68 beta=90.10 gamma=90.00
Sites, in units of the cell vectors:
Mn: 0.462 0.443 0.509
Ga: 0.467 0.262 0.141
P: 0.961 0.883 0.387
Se: 0.963 0.562 0.751

***

Q | MnGaPSe | PBE | optimized geometry

Summary:
- V: 17.4 A^3/atom
- D(E_F): 0.433 states/eV/atom

Unit cell a=3.484 b=4.605 c=4.905 alpha=65.65 beta=76.46 gamma=84.13
Sites, in units of the cell vectors:
P: 0.590 0.572 0.195
Mn: 0.148 0.832 0.894
Ga: 0.826 0.982 0.394
Se: 0.292 0.398 0.728

***

R | MnGaPSe | PBE | optimized geometry

Summary:
- V: 16.6 A^3/atom
- D(E_F): 0.316 states/eV/atom

Unit cell a=2.779 b=4.294 c=11.135 alpha=90.00 beta=90.00 gamma=90.00
Sites, in units of the cell vectors:
Mn: 0.000 0.000 0.048
Mn: 0.500 0.500 0.548
Ga: 0.000 0.000 0.533
Ga: 0.500 0.500 0.033
P: 0.000 0.500 0.700
P: 0.500 0.000 0.200
Se: 0.000 0.000 0.828
Se: 0.500 0.500 0.328

***

What is the stability order? It is P, R, Q, from most stable to least stable.

***

P | MnGaPSe | PBE | optimized geometry

Summary:
- V: 19.3 A^3/atom
- D(E_F): 0.436 states/eV/atom

Unit cell a=3.566 b=2.744 c=15.792 alpha=90.00 beta=90.00 gamma=90.00
Sites, in units of the cell vectors:
Mn: 0.000 0.000 0.182
Mn: 0.500 0.500 0.682
Ga: 0.000 0.500 0.316
Ga: 0.500 0.000 0.816
P: 0.000 0.000 0.649
P: 0.500 0.500 0.149
Se: 0.000 0.000 0.923
Se: 0.500 0.500 0.423

***

Q | MnGaPSe | PBE | optimized geometry

Summary:
- V: 17.7 A^3/atom
- D(E_F): 0.478 states/eV/atom

Unit cell a=3.300 b=3.300 c=7.491 alpha=90.00 beta=90.00 gamma=120.00
Sites, in units of the cell vectors:
Mn: 0.333 0.667 0.453
Ga: 0.333 0.667 0.886
P: 0.667 0.333 0.626
Se: 0.667 0.333 0.247

***

R | MnGaPSe | PBE | optimized geometry

Summary:
- V: 23.0 A^3/atom
- D(E_F): 0.179 states/eV/atom

Unit cell a=3.947 b=3.973 c=5.870 alpha=90.02 beta=90.00 gamma=90.08
Sites, in units of the cell vectors:
Mn: 0.824 0.037 0.450
Ga: 0.324 0.538 0.905
P: 0.824 0.537 0.684
Se: 0.324 0.038 0.174

***

What is the stability order? It is R, Q, P, from most stable to least stable.

***

P | Pa2Mn2Ga | PBE | optimized geometry

Summary:
- V: 18.2 A^3/atom
- D(E_F): 0.947 states/eV/atom

Unit cell a=4.800 b=5.519 c=8.033 alpha=106.61 beta=90.00 gamma=115.78
Sites, in units of the cell vectors:
Pa: 0.529 0.309 0.128
Pa: 0.221 0.691 0.372
Pa: 0.471 0.691 0.872
Pa: 0.779 0.309 0.628
Mn: 0.715 0.721 0.455
Mn: 0.994 0.279 0.045
Mn: 0.285 0.279 0.545
Mn: 0.006 0.721 0.955
Ga: 0.902 0.000 0.250
Ga: 0.098 0.000 0.750

***

Q | Pa2Mn2Ga | PBE | optimized geometry

Summary:
- V: 18.3 A^3/atom
- D(E_F): 1.289 states/eV/atom

Unit cell a=5.694 b=5.694 c=7.081 alpha=93.78 beta=112.65 gamma=116.05
Sites, in units of the cell vectors:
Pa: 0.383 0.291 0.165
Pa: 0.126 0.718 0.335
Pa: 0.617 0.709 0.835
Pa: 0.874 0.282 0.665
Mn: 0.843 0.321 0.090
Mn: 0.232 0.253 0.410
Mn: 0.157 0.679 0.910
Mn: 0.768 0.747 0.590
Ga: 0.662 0.912 0.250
Ga: 0.338 0.088 0.750

***

What is the stability order? It is P, Q, from most stable to least stable.

***

P | MnGaPb3 | PBE | optimized geometry

Summary:
- V: 29.4 A^3/atom
- D(E_F): 1.997 states/eV/atom

Unit cell a=5.280 b=5.280 c=5.280 alpha=90.00 beta=90.00 gamma=90.00
Sites, in units of the cell vectors:
Pb: 0.000 0.500 0.000
Pb: 0.000 0.000 0.500
Pb: 0.500 0.000 0.000
Mn: 0.500 0.500 0.500
Ga: 0.000 0.000 0.000

***

Q | MnGaPb3 | PBE | optimized geometry

Summary:
- V: 28.6 A^3/atom
- D(E_F): 0.432 states/eV/atom

Unit cell a=5.231 b=5.231 c=5.231 alpha=90.00 beta=90.00 gamma=90.00
Sites, in units of the cell vectors:
Pb: 0.000 0.500 0.000
Pb: 0.000 0.000 0.500
Pb: 0.500 0.000 0.000
Mn: 0.000 0.000 0.000
Ga: 0.500 0.500 0.500

***

What is the stability order? It is Q, P, from most stable to least stable.

***

P | Mn2GaPd8 | PBE | optimized geometry

Summary:
- V: 14.6 A^3/atom
- D(E_F): 0.739 states/eV/atom

Unit cell a=2.886 b=7.058 c=8.280 alpha=104.32 beta=100.04 gamma=90.00
Sites, in units of the cell vectors:
Mn: 0.751 0.396 0.502
Mn: 0.249 0.604 0.498
Ga: 0.500 0.000 0.000
Pd: 0.395 0.536 0.789
Pd: 0.691 0.856 0.382
Pd: 0.865 0.859 0.730
Pd: 0.963 0.268 0.926
Pd: 0.135 0.141 0.270
Pd: 0.309 0.144 0.618
Pd: 0.605 0.464 0.211
Pd: 0.037 0.732 0.074

***

Q | Mn2GaPd8 | PBE | optimized geometry

Summary:
- V: 15.5 A^3/atom
- D(E_F): 0.605 states/eV/atom

Unit cell a=4.261 b=7.099 c=6.998 alpha=120.48 beta=107.72 gamma=90.00
Sites, in units of the cell vectors:
Mn: 0.202 0.702 0.405
Mn: 0.798 0.298 0.595
Ga: 0.500 0.000 0.000
Pd: 0.653 0.867 0.305
Pd: 0.347 0.562 0.695
Pd: 0.140 0.140 0.280
Pd: 0.000 0.314 0.000
Pd: 0.860 0.860 0.720
Pd: 0.653 0.438 0.305
Pd: 0.347 0.133 0.695
Pd: 0.000 0.686 0.000

***

What is the stability order? It is Q, P, from most stable to least stable.

***

P | MnGa2Pd3 | PBE | optimized geometry

Summary:
- V: 15.0 A^3/atom
- D(E_F): 0.493 states/eV/atom

Unit cell a=3.149 b=3.149 c=9.074 alpha=90.00 beta=90.00 gamma=90.00
Sites, in units of the cell vectors:
Mn: 0.500 0.500 0.500
Ga: 0.500 0.500 0.831
Ga: 0.500 0.500 0.169
Pd: 0.000 0.000 0.000
Pd: 0.000 0.000 0.672
Pd: 0.000 0.000 0.328

***

Q | MnGa2Pd3 | PBE | optimized geometry

Summary:
- V: 15.0 A^3/atom
- D(E_F): 0.415 states/eV/atom

Unit cell a=4.377 b=6.946 c=6.254 alpha=90.00 beta=90.00 gamma=70.81
Sites, in units of the cell vectors:
Mn: 0.332 0.334 0.000
Mn: 0.668 0.666 0.000
Ga: 0.000 0.000 0.000
Ga: 0.000 0.000 0.500
Ga: 0.330 0.337 0.500
Ga: 0.670 0.663 0.500
Pd: 0.834 0.329 0.744
Pd: 0.500 0.000 0.258
Pd: 0.166 0.671 0.256
Pd: 0.834 0.329 0.256
Pd: 0.166 0.671 0.744
Pd: 0.500 0.000 0.742

***

What is the stability order? It is Q, P, from most stable to least stable.

***

P | Mn2GaPd4 | PBE | optimized geometry

Summary:
- V: 15.6 A^3/atom
- D(E_F): 0.451 states/eV/atom

Unit cell a=2.846 b=6.485 c=6.826 alpha=117.01 beta=102.03 gamma=90.00
Sites, in units of the cell vectors:
Mn: 0.770 0.823 0.541
Mn: 0.230 0.177 0.459
Ga: 0.000 0.000 0.000
Pd: 0.912 0.272 0.823
Pd: 0.088 0.728 0.177
Pd: 0.625 0.372 0.249
Pd: 0.375 0.628 0.751

***

Q | Mn2GaPd4 | PBE | optimized geometry

Summary:
- V: 16.3 A^3/atom
- D(E_F): 0.225 states/eV/atom

Unit cell a=4.135 b=5.266 c=5.266 alpha=94.71 beta=90.00 gamma=90.00
Sites, in units of the cell vectors:
Mn: 0.000 0.792 0.208
Mn: 0.000 0.208 0.792
Ga: 0.500 0.500 0.500
Pd: 0.000 0.712 0.712
Pd: 0.000 0.288 0.288
Pd: 0.500 0.000 0.500
Pd: 0.500 0.500 0.000

***

What is the stability order? It is Q, P, from most stable to least stable.

***

P | PmMnGa3 | PBE | optimized geometry

Summary:
- V: 19.5 A^3/atom
- D(E_F): 0.476 states/eV/atom

Unit cell a=4.601 b=4.601 c=4.601 alpha=90.00 beta=90.00 gamma=90.00
Sites, in units of the cell vectors:
Mn: 0.000 0.000 0.000
Ga: 0.000 0.500 0.000
Ga: 0.000 0.000 0.500
Ga: 0.500 0.000 0.000
Pm: 0.500 0.500 0.500

***

Q | PmMnGa3 | PBE | optimized geometry

Summary:
- V: 18.6 A^3/atom
- D(E_F): 0.630 states/eV/atom

Unit cell a=5.527 b=6.236 c=6.236 alpha=120.00 beta=90.00 gamma=90.00
Sites, in units of the cell vectors:
Pm: 0.750 0.333 0.667
Pm: 0.250 0.667 0.333
Mn: 0.500 0.000 0.000
Mn: 0.000 0.000 0.000
Ga: 0.750 0.811 0.622
Ga: 0.250 0.189 0.811
Ga: 0.750 0.378 0.189
Ga: 0.250 0.622 0.811
Ga: 0.250 0.189 0.378
Ga: 0.750 0.811 0.189

***

What is the stability order? It is Q, P, from most stable to least stable.